A plane-wave DFT calculation with PBE-GGA was carried out for a geometry-optimized Nd2Ge2MoWC structure.

VASP energy ... -7.88 eV/atom
Magnetization ... 0.004 μB/f.u.
Crystal system ... monoclinic

a = 11.2516 Å, b = 3.9546 Å, c = 7.3837 Å
α = 90.00°, β = 124.28°, γ = 90.00°
Last column: nearest neighbours and their distance in Å.
Space group Cm (No. 8)
One atom of each set of equivalent atoms:
Nd  0.0000  0.0000  0.0000 (multiplicity 2)  2 C 2.70
Nd  0.1449  0.0000  0.5905 (multiplicity 2)  2 C 2.71
Ge  0.2122  0.5000  0.9638 (multiplicity 2)  2 Mo 2.62, 1 W 2.65, 1 Ge 2.70
Ge  0.4322  0.0000  0.6263 (multiplicity 2)  2 W 2.62, 1 Mo 2.66, 1 Ge 2.70
Mo  0.3694  0.0000  0.2203 (multiplicity 2)  1 C 2.04
W  0.2764  0.5000  0.3689 (multiplicity 2)  1 C 2.02
C  0.0743  0.5000  0.2956 (multiplicity 2)  1 W 2.02, 1 Mo 2.04